1.
The following is a GGA-PBE calculation of Sr2AcAu3 after structural relaxation, from the Alexandria database.

Results
The value obtained for the uncorrected energy is -3.64 eV per atom. The value obtained for the formation energy is -0.753 eV per atom. As for the energy above the most stable polymorph in this dataset: 0.000 eV/atom. As for the magnetic moment: 0.00 μB/cell.

a b c (Å): 5.4798 16.4436 7.7329
angles (deg): 90.00 90.00 90.00
Closest atoms and distances in Å follow each position.
Space group Cmmm (No. 65)
One atom of each set of equivalent atoms:
1 Sr 0.0000 0.0000 0.0000 x2  8 Au 3.36-3.47
2 Sr 0.0000 0.0000 0.5000 x2  8 Au 3.35
3 Sr 0.0000 0.3333 0.0000 x4  8 Au 3.36-3.42
4 Ac 0.0000 0.3368 0.5000 x4  8 Au 3.28-3.30
5 Au 0.0000 0.1710 0.2640 x8  3 Ac 3.28-3.29, 5 Sr 3.35-3.47, 1 Au 3.65
6 Au 0.0000 0.5000 0.2513 x4  2 Ac 3.30, 6 Sr 3.35-3.36

2.
The following is a GGA-PBE calculation of AcPu3Ge2 after structural relaxation, from the Alexandria database.

Results
The value obtained for the uncorrected energy is -9.64 eV per atom. The value obtained for the formation energy is -0.252 eV per atom. As for the magnetic moment: 23.58 μB/cell.

a b c (Å): 17.8090 4.2559 10.3832
angles (deg): 90.00 124.90 90.00
Closest atoms and distances in Å follow each position.
Space group C2/m (No. 12)
One atom of each set of equivalent atoms:
1 Ac 0.1393 0.0000 0.1372 x4  6 Ge 3.27-3.31, 2 Pu 3.48-3.54
2 Pu 0.0006 0.0000 0.3486 x4  4 Ge 3.04-3.16, 5 Pu 3.16-3.28
3 Pu 0.1662 0.5000 0.8659 x4  3 Ge 2.94-2.99, 2 Pu 3.28
4 Pu 0.1685 0.5000 0.4667 x4  3 Ge 2.98-3.00, 2 Pu 3.28
5 Ge 0.0009 0.5000 0.1392 x4  1 Ge 2.87, 4 Pu 2.94-3.04
6 Ge 0.1870 0.0000 0.6862 x4  6 Pu 2.99-3.16, 2 Ac 3.31

3.
The following is a GGA-PBE calculation of HgMoI3 after structural relaxation, from the Alexandria database.

Results
The value obtained for the uncorrected energy is -2.98 eV per atom. As for the energy relative to the elements, uncorrected: 17.46 kJ/mol of atoms. As for the energy above the most stable polymorph in this dataset: 0.000 eV/atom. As for the magnetic moment: 3.00 μB/cell.

a b c (Å): 5.6640 5.6640 5.6640
angles (deg): 90.00 90.00 90.00
Closest atoms and distances in Å follow each position.
Space group Pm-3m (No. 221)
One atom of each set of equivalent atoms:
1 Hg 0.0000 0.0000 0.0000 x1  12 I 4.01
2 Mo 0.5000 0.5000 0.5000 x1  6 I 2.83
3 I 0.0000 0.5000 0.5000 x3  2 Mo 2.83